*w*
! GGA-PBE HfFeIr3, relaxed; values from VASP
&SYSTEM
  ibrav = 0, nat = 5, ntyp = 3
/
ATOMIC_SPECIES
Ir 192.22 Ir.upf
Hf 178.49 Hf.upf
Fe 55.84 Fe.upf
ATOMIC_POSITIONS crystal
Ir 0.000 0.500 0.000
Ir 0.000 0.000 0.500
Ir 0.500 0.000 0.000
Hf 0.000 0.000 0.000
Fe 0.500 0.500 0.500
CELL_PARAMETERS angstrom
4.791 0.000 0.000
0.000 4.791 0.000
0.000 0.000 4.791
! **Symmetry**: No. 221
! **Crystal system**: cubic
! **Density of states at the Fermi level**: 9.4 states/eV per cell


*x*
! GGA-PBE HfFeIr3, relaxed; values from VASP
&SYSTEM
  ibrav = 0, nat = 5, ntyp = 3
/
ATOMIC_SPECIES
Ir 192.22 Ir.upf
Hf 178.49 Hf.upf
Fe 55.84 Fe.upf
ATOMIC_POSITIONS crystal
Ir 0.000 0.500 0.000
Ir 0.000 0.000 0.500
Ir 0.500 0.000 0.000
Hf 0.500 0.500 0.500
Fe 0.000 0.000 0.000
CELL_PARAMETERS angstrom
4.478 0.000 0.000
0.000 4.478 0.000
0.000 0.000 4.478
! **Symmetry**: No. 221
! **Crystal system**: cubic
! **Density of states at the Fermi level**: 4.2 states/eV per cell


Most stable: *x*. Least stable: *w*.


*w*
! GGA-PBE KHf3Fe, relaxed; values from VASP
&SYSTEM
  ibrav = 0, nat = 5, ntyp = 3
/
ATOMIC_SPECIES
K 39.10 K.upf
Hf 178.49 Hf.upf
Fe 55.84 Fe.upf
ATOMIC_POSITIONS crystal
K 0.000 0.000 0.000
Hf 0.000 0.500 0.000
Hf 0.000 0.000 0.500
Hf 0.500 0.000 0.000
Fe 0.500 0.500 0.500
CELL_PARAMETERS angstrom
4.732 0.000 0.000
0.000 4.732 0.000
0.000 0.000 4.732
! **Symmetry**: No. 221
! **Crystal system**: cubic
! **Density of states at the Fermi level**: 8.5 states/eV per cell


*x*
! GGA-PBE KHf3Fe, relaxed; values from VASP
&SYSTEM
  ibrav = 0, nat = 5, ntyp = 3
/
ATOMIC_SPECIES
K 39.10 K.upf
Hf 178.49 Hf.upf
Fe 55.84 Fe.upf
ATOMIC_POSITIONS crystal
K 0.500 0.500 0.500
Hf 0.000 0.500 0.000
Hf 0.000 0.000 0.500
Hf 0.500 0.000 0.000
Fe 0.000 0.000 0.000
CELL_PARAMETERS angstrom
-4.832 -0.786 -0.812
0.991 -4.662 -1.380
-0.545 -1.506 4.697
! **Symmetry**: No. 221
! **Crystal system**: cubic
! **Density of states at the Fermi level**: 6.9 states/eV per cell


Most stable: *x*. Least stable: *w*.


*w*
! GGA-PBE KHf2Fe, relaxed; values from VASP
&SYSTEM
  ibrav = 0, nat = 8, ntyp = 3
/
ATOMIC_SPECIES
K 39.10 K.upf
Hf 178.49 Hf.upf
Fe 55.84 Fe.upf
ATOMIC_POSITIONS crystal
K 0.500 0.500 0.000
K 0.250 0.750 0.500
Hf 0.875 0.125 0.250
Hf 0.875 0.625 0.250
Hf 0.375 0.125 0.750
Hf 0.875 0.125 0.750
Fe 0.000 0.000 0.000
Fe 0.750 0.250 0.500
CELL_PARAMETERS angstrom
7.267 0.000 0.000
0.000 7.267 0.000
3.634 3.634 5.432
! **Symmetry**: No. 141
! **Crystal system**: tetragonal
! **Density of states at the Fermi level**: 12.8 states/eV per cell


*x*
! GGA-PBE KHf2Fe, relaxed; values from VASP
&SYSTEM
  ibrav = 0, nat = 4, ntyp = 3
/
ATOMIC_SPECIES
K 39.10 K.upf
Hf 178.49 Hf.upf
Fe 55.84 Fe.upf
ATOMIC_POSITIONS crystal
K 0.000 0.000 0.000
Hf 0.250 0.250 0.250
Hf 0.750 0.750 0.750
Fe 0.500 0.500 0.500
CELL_PARAMETERS angstrom
3.701 -3.067 0.132
-0.192 -3.879 2.836
-0.435 -4.378 -1.941
! **Symmetry**: No. 225
! **Crystal system**: cubic
! **Density of states at the Fermi level**: 3.5 states/eV per cell


Most stable: *x*. Least stable: *w*.